i | Below is a relaxed structure of TlCd2Sb, with properties calculated at the PBE-GGA level.

Calculated values
The volume is 26.4 A^3/atom. Its size of the total moment is 0.0 Bohr magnetons per cell.

```
TlCd2Sb
1.0
3.368 0.000 0.000
0.000 3.368 0.000
0.000 0.000 9.319
Sb Tl Cd
1 1 2
Cartesian
0.000 0.000 4.465
1.684 1.684 7.100
0.000 0.000 0.212
1.684 1.684 2.202
```

=====

ii | Below is a relaxed structure of TlCd2Sb, with properties calculated at the PBE-GGA level.

Calculated values
The volume is 27.0 A^3/atom. Its size of the total moment is 0.0 Bohr magnetons per cell.

```
TlCd2Sb
1.0
6.729 -0.075 0.142
3.583 5.696 -0.142
-4.385 -4.226 2.868
Sb Tl Cd
1 1 2
Cartesian
5.335 2.908 0.000
2.202 2.154 1.363
10.093 5.502 0.000
3.765 -0.737 1.505
```

=====

Pick the most stable structure from those above. Pick: i